w | Y3Er3Sb2Os: optimized geometry, PBE-GGA.

Unit cell a=8.176 b=8.176 c=4.199 alpha=90.00 beta=90.00 gamma=120.00
Sites, in units of the cell vectors:
Er 0.608 0.000 0.000
Er 0.392 0.392 0.000
Er 0.000 0.608 0.000
Os 0.000 0.000 0.000
Sb 0.667 0.333 0.500
Sb 0.333 0.667 0.500
Y 0.240 0.000 0.500
Y 0.000 0.240 0.500
Y 0.760 0.760 0.500

Calculated values
As for the space group: No. 189.



x | Y3Er3Sb2Os: optimized geometry, PBE-GGA.

Unit cell a=8.153 b=8.153 c=4.210 alpha=90.00 beta=90.00 gamma=120.00
Sites, in units of the cell vectors:
Er 0.235 0.000 0.500
Er 0.000 0.235 0.500
Er 0.765 0.765 0.500
Os 0.000 0.000 0.000
Sb 0.667 0.333 0.500
Sb 0.333 0.667 0.500
Y 0.605 0.000 0.000
Y 0.395 0.395 0.000
Y 0.000 0.605 0.000

Calculated values
As for the space group: No. 189.



Computed energies relative to the best structure, in meV per atom: w 60; x 0



w | SmErSi2Os: optimized geometry, PBE-GGA.

Unit cell a=5.860 b=5.860 c=10.087 alpha=117.63 beta=117.63 gamma=42.38
Sites, in units of the cell vectors:
Er 0.180 0.180 0.110
Er 0.820 0.820 0.890
Os 0.727 0.727 0.372
Os 0.273 0.273 0.628
Si 0.500 0.500 0.124
Si 0.350 0.350 0.438
Si 0.650 0.650 0.562
Si 0.500 0.500 0.876
Sm 0.986 0.986 0.318
Sm 0.014 0.014 0.682

Calculated values
As for the space group: No. 12.



x | SmErSi2Os: optimized geometry, PBE-GGA.

Unit cell a=5.748 b=5.748 c=10.085 alpha=116.50 beta=116.50 gamma=43.33
Sites, in units of the cell vectors:
Er 0.996 0.996 0.325
Er 0.004 0.004 0.675
Os 0.731 0.731 0.376
Os 0.269 0.269 0.624
Si 0.499 0.499 0.128
Si 0.356 0.356 0.440
Si 0.644 0.644 0.560
Si 0.501 0.501 0.872
Sm 0.189 0.189 0.111
Sm 0.811 0.811 0.889

Calculated values
As for the space group: No. 12.



Computed energies relative to the best structure, in meV per atom: w 25; x 0



w | TbErSi2Os: optimized geometry, PBE-GGA.

Unit cell a=5.749 b=5.749 c=9.982 alpha=116.88 beta=116.88 gamma=43.10
Sites, in units of the cell vectors:
Er 0.816 0.816 0.390
Er 0.184 0.184 0.610
Os 0.271 0.271 0.128
Os 0.729 0.729 0.872
Si 0.645 0.645 0.061
Si 0.503 0.503 0.376
Si 0.497 0.497 0.624
Si 0.355 0.355 0.939
Tb 0.010 0.010 0.180
Tb 0.990 0.990 0.820

Calculated values
As for the space group: No. 12.



x | TbErSi2Os: optimized geometry, PBE-GGA.

Unit cell a=5.714 b=5.714 c=9.988 alpha=116.52 beta=116.52 gamma=43.35
Sites, in units of the cell vectors:
Er 0.007 0.007 0.177
Er 0.993 0.993 0.823
Os 0.269 0.269 0.126
Os 0.731 0.731 0.874
Si 0.643 0.643 0.060
Si 0.503 0.503 0.374
Si 0.497 0.497 0.626
Si 0.357 0.357 0.940
Tb 0.813 0.813 0.389
Tb 0.187 0.187 0.611

Calculated values
As for the space group: No. 12.



Computed energies relative to the best structure, in meV per atom: w 12; x 0



w | ErTmSi2Os: optimized geometry, PBE-GGA.

Unit cell a=5.664 b=5.664 c=9.877 alpha=116.32 beta=116.32 gamma=43.60
Sites, in units of the cell vectors:
Er 0.815 0.815 0.389
Er 0.185 0.185 0.611
Os 0.269 0.269 0.128
Os 0.731 0.731 0.872
Si 0.641 0.641 0.060
Si 0.505 0.505 0.376
Si 0.495 0.495 0.624
Si 0.359 0.359 0.940
Tm 0.007 0.007 0.178
Tm 0.993 0.993 0.822

Calculated values
As for the space group: No. 12.



x | ErTmSi2Os: optimized geometry, PBE-GGA.

Unit cell a=5.669 b=5.669 c=9.879 alpha=116.37 beta=116.37 gamma=43.57
Sites, in units of the cell vectors:
Er 0.993 0.993 0.321
Er 0.007 0.007 0.679
Os 0.731 0.731 0.372
Os 0.269 0.269 0.628
Si 0.495 0.495 0.124
Si 0.359 0.359 0.440
Si 0.641 0.641 0.560
Si 0.505 0.505 0.876
Tm 0.185 0.185 0.111
Tm 0.815 0.815 0.889

Calculated values
As for the space group: No. 12.



Computed energies relative to the best structure, in meV per atom: w 0; x 5